NaCrTc2O8: optimized geometry, GGA+U.

volume: 182.7 Å³/cell
final energy: -87.0 eV per cell

Cell lengths 5.6885, 5.6885, 6.5207 Å; angles 90.00, 90.00, 120.00 degrees
Space group P-3m1 (No. 164)
Symmetry-distinct sites (fractional):
Na1 0.0000 0.0000 0.0000 x1
Cr1 0.0000 0.0000 0.5000 x1
Tc1 0.3333 0.6667 0.7700 x2
O1 0.1599 0.3198 0.6844 x6
O2 0.3333 0.6667 0.0369 x2